Record 1
The following is a DFT calculation (SCAN) of a PBEsol-optimized structure of TaMn2Ru.

a = 3.070 Å, b = 4.142 Å, c = 4.226 Å
α = 90.00°, β = 90.00°, γ = 90.00°
Sites, in units of the cell vectors:
1 Ta 0.000 0.000 0.000
2 Mn 0.000 0.500 0.500
3 Mn 0.500 0.500 0.000
4 Ru 0.500 0.000 0.500

***

Record 2
The following is a DFT calculation (SCAN) of a PBEsol-optimized structure of Ta2MnRu.

a = 4.330 Å, b = 4.330 Å, c = 3.134 Å
α = 90.00°, β = 90.00°, γ = 90.00°
Sites, in units of the cell vectors:
1 Ta 0.000 0.500 0.000
2 Ta 0.500 0.000 0.000
3 Mn 0.000 0.000 0.500
4 Ru 0.500 0.500 0.500

***

Record 3
The following is a DFT calculation (SCAN) of a PBEsol-optimized structure of Ta2MnRu.

a = 2.961 Å, b = 2.961 Å, c = 23.933 Å
α = 90.00°, β = 90.00°, γ = 120.00°
Sites, in units of the cell vectors:
1 Ta 0.000 0.000 0.246
2 Ta 0.000 0.000 0.754
3 Ta 0.333 0.667 0.421
4 Ta 0.333 0.667 0.912
5 Ta 0.667 0.333 0.088
6 Ta 0.667 0.333 0.579
7 Mn 0.000 0.000 0.500
8 Mn 0.333 0.667 0.167
9 Mn 0.667 0.333 0.833
10 Ru 0.000 0.000 0.000
11 Ru 0.333 0.667 0.667
12 Ru 0.667 0.333 0.333

***

Record 4
The following is a DFT calculation (SCAN) of a PBEsol-optimized structure of Ta3MnRu.

a = 4.722 Å, b = 4.722 Å, c = 4.722 Å
α = 90.00°, β = 90.00°, γ = 90.00°
Sites, in units of the cell vectors:
1 Ta 0.000 0.000 0.500
2 Ta 0.000 0.500 0.000
3 Ta 0.500 0.000 0.000
4 Mn 0.500 0.500 0.500
5 Ru 0.000 0.000 0.000

***

Record 5
The following is a DFT calculation (SCAN) of a PBEsol-optimized structure of Ta2MnRu.

a = 2.858 Å, b = 2.858 Å, c = 26.306 Å
α = 90.00°, β = 90.00°, γ = 120.00°
Sites, in units of the cell vectors:
1 Ta 0.000 0.000 0.000
2 Ta 0.000 0.000 0.239
3 Ta 0.333 0.667 0.667
4 Ta 0.333 0.667 0.905
5 Ta 0.667 0.333 0.333
6 Ta 0.667 0.333 0.572
7 Mn 0.000 0.000 0.748
8 Mn 0.333 0.667 0.414
9 Mn 0.667 0.333 0.081
10 Ru 0.000 0.000 0.490
11 Ru 0.333 0.667 0.157
12 Ru 0.667 0.333 0.824

***

Record 6
The following is a DFT calculation (SCAN) of a PBEsol-optimized structure of TaMnRu3.

a = 4.621 Å, b = 4.621 Å, c = 4.621 Å
α = 90.00°, β = 90.00°, γ = 90.00°
Sites, in units of the cell vectors:
1 Ta 0.000 0.000 0.000
2 Mn 0.500 0.500 0.500
3 Ru 0.000 0.000 0.500
4 Ru 0.000 0.500 0.000
5 Ru 0.500 0.000 0.000

***

Number 1: raw total energy -139.08 eV for the cell shown, V 13.4 Å³/atom, energy relative to the elements -112 kJ/mol of formula units. Number 2: raw total energy -187.60 eV for the cell shown, V 14.7 Å³/atom, energy relative to the elements -130 kJ/mol of formula units. Number 3: raw total energy -557.87 eV for the cell shown, V 15.1 Å³/atom, energy relative to the elements 28 kJ/mol of formula units. Number 4: raw total energy -247.31 eV for the cell shown, V 21.1 Å³/atom, energy relative to the elements 532 kJ/mol of formula units. Number 5: raw total energy -557.62 eV for the cell shown, V 15.5 Å³/atom, energy relative to the elements 36 kJ/mol of formula units. Number 6: raw total energy -182.52 eV for the cell shown, V 19.7 Å³/atom, energy relative to the elements 655 kJ/mol of formula units.